## Mn6PO12 (PBE with a Hubbard U)

Data for a geometry-optimized Mn6PO12 structure.

Output
The final energy is -1122.36 eV for the cell shown. The value obtained for the calculated volume is 216.3 Å³/f.u. The total magnetic moment is 183.99 μB/cell.

Unit cell a=9.5374 b=9.5374 c=19.0240 alpha=90.00 beta=90.00 gamma=90.00
Space group I4_1/acd (No. 142, origin choice 2)
Unique sites:
Mn (0.0000, 0.0000, 0.0000) x16
Mn (0.0246, 0.0000, 0.2500) x16
Mn (0.2320, 0.0180, 0.6250) x16
P (0.0000, 0.2500, 0.3750) x8
O (0.0852, 0.1491, 0.9214) x32
O (0.1217, 0.1064, 0.7011) x32
O (0.1501, 0.0766, 0.0548) x32